Entry 1:
AlTcAs2 | GGA-PBE | relaxed

Properties
DOS(E_F) = 2.54 states/eV/f.u.
Calculated total energy = -5.709 eV per atom
DFT formation energy = 55 kJ/mol of formula units
SG = Immm (71)

Lattice parameters (Å, degrees): 4.814 4.814 4.814 135.58 121.65 76.17
Each line ends with the local moment (μB).
Positions (direct):
Tc: 0.750 0.250 0.500  0.45
Al: 0.250 0.750 0.500  0.00
As: 0.014 0.014 0.000  -0.01
As: 0.486 0.486 0.000  -0.01

=====

Entry 2:
AlTc2As2 | GGA-PBE | relaxed

Properties
DOS(E_F) = 3.78 states/eV/f.u.
Calculated total energy = -6.755 eV per atom
DFT formation energy = 0 kJ/mol of formula units
SG = P4/mbm (127)

Lattice parameters (Å, degrees): 7.089 7.089 3.144 90.00 90.00 90.00
Positions (direct):
Tc: 0.649 0.149 0.000
Tc: 0.851 0.649 0.000
Tc: 0.149 0.351 0.000
Tc: 0.351 0.851 0.000
As: 0.648 0.852 0.500
As: 0.352 0.148 0.500
As: 0.852 0.352 0.500
As: 0.148 0.648 0.500
Al: 0.000 0.000 0.000
Al: 0.500 0.500 0.000

=====

Please write out number 2 again, unchanged.
AlTc2As2 | GGA-PBE | relaxed

Properties
DOS(E_F) = 3.78 states/eV/f.u.
Calculated total energy = -6.755 eV per atom
DFT formation energy = 0 kJ/mol of formula units
SG = P4/mbm (127)

Lattice parameters (Å, degrees): 7.089 7.089 3.144 90.00 90.00 90.00
Positions (direct):
Tc: 0.649 0.149 0.000
Tc: 0.851 0.649 0.000
Tc: 0.149 0.351 0.000
Tc: 0.351 0.851 0.000
As: 0.648 0.852 0.500
As: 0.352 0.148 0.500
As: 0.852 0.352 0.500
As: 0.148 0.648 0.500
Al: 0.000 0.000 0.000
Al: 0.500 0.500 0.000

=====

- Number 1 is which compound?
  AlTcAs2